1.
Material: Pm4ScNi5
Method: DFT, GGA-PBE
State: optimized geometry

Values from the calculation:
Size of the total moment: 0.00 μB/f.u.
E: -0.210 hartree per atom
ΔE_f: -0.288 eV/atom
SG: P4/mmm (123)

Cell lengths 3.389, 3.389, 17.252 Å; angles 90.00, 90.00, 90.00 degrees
Fractional coordinates of all 10 atoms:
Pm (0.000, 0.000, 0.190)
Pm (0.000, 0.000, 0.397)
Pm (0.000, 0.000, 0.810)
Pm (0.000, 0.000, 0.603)
Ni (0.500, 0.500, 0.707)
Ni (0.500, 0.500, 0.081)
Ni (0.500, 0.500, 0.293)
Ni (0.500, 0.500, 0.919)
Ni (0.500, 0.500, 0.500)
Sc (0.000, 0.000, 0.000)



2.
Material: Pm2ScNi
Method: DFT, GGA-PBE
State: optimized geometry

Values from the calculation:
Energy relative to the lowest polymorph listed for this composition: 0 meV per atom
Size of the total moment: 0.00 μB/f.u.
E: -0.201 hartree per atom
ΔE_f: -0.068 eV/atom
SG: P4/mmm (123)

Cell lengths 3.570, 3.570, 7.904 Å; angles 90.00, 90.00, 90.00 degrees
Fractional coordinates of all 4 atoms:
Sc (0.500, 0.500, 0.500)
Pm (0.000, 0.000, 0.792)
Pm (0.000, 0.000, 0.208)
Ni (0.500, 0.500, 0.000)